Here is an optimized crystal structure of EuAlGaAu from Alexandria via LeMat-Bulk. Energies are from PBE-GGA.

a = 6.942 Å, b = 6.942 Å, c = 6.942 Å
α = 90.00°, β = 90.00°, γ = 90.00°
Space group F-43m (No. 216)
One atom of each set of equivalent atoms:
Eu 0.000 0.000 0.000
Al 0.000 0.000 0.500
Ga 0.250 0.250 0.750
Au 0.250 0.250 0.250

The total energy is -5.5245 eV/atom. For the energy relative to the elements, the calculation gives -171 kJ/mol of formula units.

Here is an optimized crystal structure of Al2AsP from Alexandria via LeMat-Bulk. Energies are from PBE-GGA.

a = 6.525 Å, b = 6.525 Å, c = 6.525 Å
α = 90.00°, β = 90.00°, γ = 90.00°
Space group F-43m (No. 216)
One atom of each set of equivalent atoms:
Al 0.000 0.000 0.000
Al 0.250 0.250 0.250
As 0.000 0.000 0.500
P 0.250 0.250 0.750

Its polymorph energy (0 for the lowest one) is 879 meV per atom. The total energy is -4.0546 eV/atom. For the energy relative to the elements, the calculation gives 128 kJ/mol of formula units.

Here is an optimized crystal structure of Pm8Pt2Rh from Alexandria via LeMat-Bulk. Energies are from PBE-GGA.

a = 8.582 Å, b = 12.735 Å, c = 6.356 Å
α = 90.00°, β = 110.54°, γ = 90.00°
Space group Cm (No. 8)
One atom of each set of equivalent atoms:
Pm 0.000 0.000 0.000
Pm 0.071 0.369 0.814
Pm 0.145 0.131 0.579
Pm 0.213 0.500 0.372
Pm 0.360 0.202 0.189
Pt 0.355 0.315 0.686
Rh 0.350 0.000 0.997

Its polymorph energy (0 for the lowest one) is 81 meV per atom. The total energy is -5.7014 eV/atom. For the energy relative to the elements, the calculation gives -509 kJ/mol of formula units.

Here is an optimized crystal structure of Tc2RuRh from Alexandria via LeMat-Bulk. Energies are from PBE-GGA.

a = 2.7240 Å, b = 2.7240 Å, c = 26.7238 Å
α = 90.00°, β = 90.00°, γ = 120.00°
Space group R3m (No. 160, hexagonal axes)
One atom of each set of equivalent atoms:
Tc 0.0000 0.0000 0.0000
Tc 0.0000 0.0000 0.2492
Ru 0.0000 0.0000 0.7489
Rh 0.0000 0.0000 0.4999

Its polymorph energy (0 for the lowest one) is 153 meV per atom. The total energy is -9.3190 eV/atom. For the energy relative to the elements, the calculation gives 8 kJ/mol of formula units.

Here is an optimized crystal structure of Tb5Tl2Sb from Alexandria via LeMat-Bulk. Energies are from PBE-GGA.

a = 7.580 Å, b = 7.580 Å, c = 7.841 Å
α = 90.00°, β = 90.00°, γ = 90.00°
Space group I4mm (No. 107)
One atom of each set of equivalent atoms:
Tb 0.000 0.000 0.000
Tb 0.236 0.236 0.296
Tl 0.000 0.500 0.037
Sb 0.000 0.000 0.591

Its polymorph energy (0 for the lowest one) is 137 meV per atom. The total energy is -4.3366 eV/atom.

Here is an optimized crystal structure of Sm4TlHg2 from Alexandria via LeMat-Bulk. Energies are from PBE-GGA.

a = 5.1411 Å, b = 5.1411 Å, c = 29.6860 Å
α = 90.00°, β = 90.00°, γ = 120.00°
Space group R-3m (No. 166, hexagonal axes)
One atom of each set of equivalent atoms:
Sm 0.0000 0.0000 0.1212
Sm 0.0000 0.0000 0.2964
Tl 0.0000 0.0000 0.5000
Hg 0.0000 0.0000 0.3988

Its polymorph energy (0 for the lowest one) is 148 meV per atom. The total energy is -3.2758 eV/atom. For the energy relative to the elements, the calculation gives -105 kJ/mol of formula units.